[1]
Computed, not measured: a relaxed BaMg2Rh crystal at the GGA-PBE level of DFT.

Lattice parameters (Å, degrees): 5.518 5.518 9.461 73.05 73.05 90.00
Sites, in units of the cell vectors:
Mg (0.375, 0.125, 0.250)
Mg (0.375, 0.625, 0.250)
Mg (0.375, 0.625, 0.750)
Mg (0.875, 0.625, 0.750)
Rh (0.500, 0.500, 0.000)
Rh (0.250, 0.750, 0.500)
Ba (0.000, 0.000, 0.000)
Ba (0.750, 0.250, 0.500)

Results
total magnetization	0.0	μB/cell
formation enthalpy at 0 K	0.082	eV/atom
V	32.80	Å³/atom

***

[2]
Computed, not measured: a relaxed BaMg2SbRh crystal at the GGA-PBE level of DFT.

Lattice parameters (Å, degrees): 5.084 5.084 5.206 90.00 90.00 90.00
Sites, in units of the cell vectors:
Sb (0.000, 0.000, 0.500)
Mg (0.000, 0.500, 0.000)
Mg (0.500, 0.000, 0.000)
Rh (0.000, 0.000, 0.000)
Ba (0.500, 0.500, 0.500)

Results
total magnetization	0.0	μB/cell
formation energy (no corrections)	-0.47	eV/atom
V	26.91	Å³/atom

***

[3]
Computed, not measured: a relaxed Ba2MgSb3Rh4 crystal at the GGA-PBE level of DFT.

Lattice parameters (Å, degrees): 4.563 4.563 11.125 90.00 90.00 90.00
Sites, in units of the cell vectors:
Ba (0.500, 0.000, 0.252)
Ba (0.000, 0.500, 0.748)
Mg (0.500, 0.500, 0.500)
Sb (0.000, 0.000, 0.500)
Sb (0.500, 0.000, 0.874)
Sb (0.000, 0.500, 0.126)
Rh (0.500, 0.500, 0.000)
Rh (0.000, 0.000, 0.000)
Rh (0.500, 0.000, 0.629)
Rh (0.000, 0.500, 0.371)

Results
total magnetization	0.0	μB/cell
formation energy (no corrections)	-0.66	eV/atom
V	23.16	Å³/atom

***

[4]
Computed, not measured: a relaxed BaMg2ScRh crystal at the GGA-PBE level of DFT.

Lattice parameters (Å, degrees): 5.271 5.271 4.939 90.00 90.00 90.00
Sites, in units of the cell vectors:
Sc (0.000, 0.000, 0.500)
Mg (0.000, 0.500, 0.000)
Mg (0.500, 0.000, 0.000)
Rh (0.000, 0.000, 0.000)
Ba (0.500, 0.500, 0.500)

Results
total magnetization	0.0	μB/cell
formation enthalpy at 0 K	-0.301	eV/atom
V	27.44	Å³/atom

***

[5]
Computed, not measured: a relaxed BaMgSc2Rh crystal at the GGA-PBE level of DFT.

Lattice parameters (Å, degrees): 5.095 5.095 5.353 90.00 90.00 90.00
Sites, in units of the cell vectors:
Sc (0.000, 0.500, 0.000)
Sc (0.500, 0.000, 0.000)
Mg (0.000, 0.000, 0.500)
Rh (0.000, 0.000, 0.000)
Ba (0.500, 0.500, 0.500)

Results
total magnetization	0.0	μB/cell
formation enthalpy at 0 K	-0.284	eV/atom
V	27.79	Å³/atom

***

[6]
Computed, not measured: a relaxed BaMg2SiRh2 crystal at the GGA-PBE level of DFT.

Lattice parameters (Å, degrees): 4.573 4.573 6.623 90.00 90.00 90.00
Sites, in units of the cell vectors:
Ba (0.000, 0.000, 0.500)
Mg (0.500, 0.500, 0.768)
Mg (0.500, 0.500, 0.232)
Si (0.000, 0.000, 0.000)
Rh (0.500, 0.000, 0.000)
Rh (0.000, 0.500, 0.000)

Results
total magnetization	0.0	μB/cell
formation energy (no corrections)	-0.46	eV/atom
V	23.09	Å³/atom

***

[7]
Computed, not measured: a relaxed BaMgSiRh2 crystal at the GGA-PBE level of DFT.

Lattice parameters (Å, degrees): 4.853 4.853 4.855 90.00 90.00 90.00
Sites, in units of the cell vectors:
Mg (0.000, 0.000, 0.000)
Si (0.000, 0.000, 0.500)
Rh (0.000, 0.500, 0.000)
Rh (0.500, 0.000, 0.000)
Ba (0.500, 0.500, 0.500)

Results
total magnetization	0.0	μB/cell
formation energy (no corrections)	0.42	eV/atom
V	22.87	Å³/atom

***

[8]
Computed, not measured: a relaxed Ba2MgSnRh crystal at the GGA-PBE level of DFT.

Lattice parameters (Å, degrees): 6.088 6.088 5.143 90.00 90.00 90.00
Sites, in units of the cell vectors:
Mg (0.500, 0.500, 0.500)
Rh (0.000, 0.000, 0.000)
Ba (0.000, 0.500, 0.000)
Ba (0.500, 0.000, 0.000)
Sn (0.000, 0.000, 0.500)

Results
total magnetization	0.0	μB/cell
formation enthalpy at 0 K	-0.257	eV/atom
V	38.12	Å³/atom

***

[9]
Computed, not measured: a relaxed BaSr2MgRh crystal at the GGA-PBE level of DFT.

Lattice parameters (Å, degrees): 5.875 5.875 6.000 90.00 90.00 90.00
Sites, in units of the cell vectors:
Sr (0.000, 0.500, 0.000)
Sr (0.500, 0.000, 0.000)
Mg (0.500, 0.500, 0.500)
Rh (0.000, 0.000, 0.000)
Ba (0.000, 0.000, 0.500)

Results
total magnetization	0.0	μB/cell
formation enthalpy at 0 K	-0.096	eV/atom
ΔE to the lowest computed polymorph	25	meV per atom
V	41.41	Å³/atom

***

[10]
Computed, not measured: a relaxed Ba2SrMgRh crystal at the GGA-PBE level of DFT.

Lattice parameters (Å, degrees): 6.085 6.085 5.411 90.00 90.00 90.00
Sites, in units of the cell vectors:
Sr (0.500, 0.500, 0.500)
Mg (0.000, 0.000, 0.500)
Rh (0.000, 0.000, 0.000)
Ba (0.000, 0.500, 0.000)
Ba (0.500, 0.000, 0.000)

Results
total magnetization	0.0	μB/cell
formation enthalpy at 0 K	-0.075	eV/atom
ΔE to the lowest computed polymorph	13	meV per atom
V	40.07	Å³/atom

***

[11]
Computed, not measured: a relaxed BaSrMgRh crystal at the GGA-PBE level of DFT.

Lattice parameters (Å, degrees): 4.579 4.579 8.644 89.98 105.38 120.01
Sites, in units of the cell vectors:
Ba (0.348, 0.039, 0.386)
Sr (0.005, 0.867, 0.872)
Mg (0.835, 0.282, 0.116)
Rh (0.505, 0.617, 0.121)

Results
total magnetization	0.0	μB/cell
formation enthalpy at 0 K	-0.219	eV/atom
V	37.36	Å³/atom

***

[12]
Computed, not measured: a relaxed Ba2SrMgRh crystal at the GGA-PBE level of DFT.

Lattice parameters (Å, degrees): 6.059 6.059 5.894 90.00 90.00 90.00
Sites, in units of the cell vectors:
Sr (0.000, 0.000, 0.500)
Mg (0.500, 0.500, 0.500)
Rh (0.000, 0.000, 0.000)
Ba (0.000, 0.500, 0.000)
Ba (0.500, 0.000, 0.000)

Results
total magnetization	0.0	μB/cell
formation enthalpy at 0 K	-0.088	eV/atom
ΔE to the lowest computed polymorph	0	meV per atom
V	43.27	Å³/atom

***

[13]
Computed, not measured: a relaxed BaSr2MgRh crystal at the GGA-PBE level of DFT.

Lattice parameters (Å, degrees): 5.868 5.868 5.417 90.00 90.00 90.00
Sites, in units of the cell vectors:
Sr (0.000, 0.500, 0.000)
Sr (0.500, 0.000, 0.000)
Mg (0.000, 0.000, 0.500)
Rh (0.000, 0.000, 0.000)
Ba (0.500, 0.500, 0.500)

Results
total magnetization	0.0	μB/cell
formation enthalpy at 0 K	-0.121	eV/atom
ΔE to the lowest computed polymorph	0	meV per atom
V	37.30	Å³/atom

***

[14]
Computed, not measured: a relaxed BaMgTl2Rh crystal at the GGA-PBE level of DFT.

Lattice parameters (Å, degrees): 5.332 5.332 5.089 90.00 90.00 90.00
Sites, in units of the cell vectors:
Mg (0.000, 0.000, 0.500)
Tl (0.000, 0.500, 0.000)
Tl (0.500, 0.000, 0.000)
Rh (0.000, 0.000, 0.000)
Ba (0.500, 0.500, 0.500)

Results
total magnetization	0.0	μB/cell
formation enthalpy at 0 K	-0.269	eV/atom
V	28.93	Å³/atom

***

[15]
Computed, not measured: a relaxed BaYMg2Rh crystal at the GGA-PBE level of DFT.

Lattice parameters (Å, degrees): 5.311 5.311 5.219 90.00 90.00 90.00
Sites, in units of the cell vectors:
Y (0.000, 0.000, 0.500)
Mg (0.000, 0.500, 0.000)
Mg (0.500, 0.000, 0.000)
Rh (0.000, 0.000, 0.000)
Ba (0.500, 0.500, 0.500)

Results
total magnetization	0.0	μB/cell
formation enthalpy at 0 K	-0.295	eV/atom
V	29.44	Å³/atom

***

[16]
Computed, not measured: a relaxed BaY2MgRh crystal at the GGA-PBE level of DFT.

Lattice parameters (Å, degrees): 5.402 5.402 5.454 90.00 90.00 90.00
Sites, in units of the cell vectors:
Y (0.000, 0.500, 0.000)
Y (0.500, 0.000, 0.000)
Mg (0.000, 0.000, 0.500)
Rh (0.000, 0.000, 0.000)
Ba (0.500, 0.500, 0.500)

Results
total magnetization	0.0	μB/cell
formation enthalpy at 0 K	-0.292	eV/atom
V	31.84	Å³/atom

***

[17]
Computed, not measured: a relaxed BaMgZn2Rh crystal at the GGA-PBE level of DFT.

Lattice parameters (Å, degrees): 4.990 4.990 4.959 90.00 90.00 90.00
Sites, in units of the cell vectors:
Mg (0.000, 0.000, 0.500)
Zn (0.000, 0.500, 0.000)
Zn (0.500, 0.000, 0.000)
Rh (0.000, 0.000, 0.000)
Ba (0.500, 0.500, 0.500)

Results
total magnetization	0.0	μB/cell
formation enthalpy at 0 K	-0.308	eV/atom
V	24.70	Å³/atom

***

[18]
Computed, not measured: a relaxed Ba2MgZnRh crystal at the GGA-PBE level of DFT.

Lattice parameters (Å, degrees): 6.015 6.015 5.047 90.00 90.00 90.00
Sites, in units of the cell vectors:
Mg (0.000, 0.000, 0.500)
Zn (0.500, 0.500, 0.500)
Rh (0.000, 0.000, 0.000)
Ba (0.000, 0.500, 0.000)
Ba (0.500, 0.000, 0.000)

Results
total magnetization	0.0	μB/cell
formation enthalpy at 0 K	-0.092	eV/atom
ΔE to the lowest computed polymorph	0	meV per atom
V	36.52	Å³/atom

***

[19]
Computed, not measured: a relaxed Ba2MgZnRh crystal at the GGA-PBE level of DFT.

Lattice parameters (Å, degrees): 6.047 6.047 4.920 90.00 90.00 90.00
Sites, in units of the cell vectors:
Mg (0.500, 0.500, 0.500)
Zn (0.000, 0.000, 0.500)
Rh (0.000, 0.000, 0.000)
Ba (0.000, 0.500, 0.000)
Ba (0.500, 0.000, 0.000)

Results
total magnetization	0.0	μB/cell
formation enthalpy at 0 K	-0.085	eV/atom
ΔE to the lowest computed polymorph	7	meV per atom
V	35.97	Å³/atom

***

[20]
Computed, not measured: a relaxed BaMg2Ru crystal at the GGA-PBE level of DFT.

Lattice parameters (Å, degrees): 5.379 5.379 9.657 73.83 73.83 90.00
Sites, in units of the cell vectors:
Ru (0.500, 0.500, 0.000)
Ru (0.250, 0.750, 0.500)
Mg (0.376, 0.125, 0.250)
Mg (0.374, 0.625, 0.250)
Mg (0.375, 0.624, 0.750)
Mg (0.875, 0.626, 0.750)
Ba (0.000, 0.000, 0.000)
Ba (0.750, 0.250, 0.500)

Results
total magnetization	0.0	μB/cell
formation enthalpy at 0 K	0.500	eV/atom
V	32.10	Å³/atom

***

[21]
Computed, not measured: a relaxed Ba2MgRu crystal at the GGA-PBE level of DFT.

Lattice parameters (Å, degrees): 5.466 5.466 5.466 120.36 120.36 89.38
Sites, in units of the cell vectors:
Ba (0.000, 0.000, 0.000)
Ba (0.250, 0.750, 0.500)
Mg (0.500, 0.500, 0.000)
Ru (0.750, 0.250, 0.500)

Results
total magnetization	0.0	μB/cell
formation enthalpy at 0 K	0.500	eV/atom
ΔE to the lowest computed polymorph	344	meV per atom
V	28.72	Å³/atom

***

[22]
Computed, not measured: a relaxed BaMgRu2 crystal at the GGA-PBE level of DFT.

Lattice parameters (Å, degrees): 3.242 3.242 8.377 90.00 90.00 90.00
Sites, in units of the cell vectors:
Ba (0.000, 0.000, 0.470)
Mg (0.500, 0.500, 0.829)
Ru (0.000, 0.000, 0.031)
Ru (0.500, 0.500, 0.170)

Results
total magnetization	0.0	μB/cell
formation enthalpy at 0 K	0.363	eV/atom
V	22.01	Å³/atom

***

[23]
Computed, not measured: a relaxed BaMgRu2 crystal at the GGA-PBE level of DFT.

Lattice parameters (Å, degrees): 5.555 5.555 5.555 145.70 122.51 68.68
Sites, in units of the cell vectors:
Ba (0.250, 0.750, 0.500)
Mg (0.750, 0.250, 0.500)
Ru (0.987, 0.987, 0.000)
Ru (0.513, 0.513, 0.000)

Results
total magnetization	0.0	μB/cell
formation enthalpy at 0 K	0.827	eV/atom
V	20.07	Å³/atom

***

[24]
Computed, not measured: a relaxed BaMgRu3 crystal at the GGA-PBE level of DFT.

Lattice parameters (Å, degrees): 4.795 4.795 4.795 90.00 90.00 90.00
Sites, in units of the cell vectors:
Ru (0.000, 0.500, 0.000)
Ru (0.000, 0.000, 0.500)
Ru (0.500, 0.000, 0.000)
Mg (0.000, 0.000, 0.000)
Ba (0.500, 0.500, 0.500)

Results
total magnetization	2.7	μB/cell
formation enthalpy at 0 K	1.344	eV/atom
ΔE to the lowest computed polymorph	0	meV per atom
V	22.05	Å³/atom

***

[25]
Computed, not measured: a relaxed BaMg2Ru crystal at the GGA-PBE level of DFT.

Lattice parameters (Å, degrees): 5.533 5.533 3.322 90.00 90.00 112.63
Sites, in units of the cell vectors:
Ba (0.000, 0.500, 0.500)
Mg (0.000, 0.000, 0.000)
Mg (0.500, 0.500, 0.000)
Ru (0.500, 0.000, 0.500)

Results
total magnetization	0.7	μB/cell
formation enthalpy at 0 K	0.587	eV/atom
V	23.47	Å³/atom

***

[26]
Computed, not measured: a relaxed Ba2MgRu crystal at the GGA-PBE level of DFT.

Lattice parameters (Å, degrees): 4.728 4.862 6.581 68.34 90.00 90.00
Sites, in units of the cell vectors:
Ba (0.000, 0.983, 0.909)
Ba (0.500, 0.262, 0.351)
Mg (0.000, 0.675, 0.526)
Ru (0.500, 0.580, 0.714)

Results
total magnetization	0.0	μB/cell
formation enthalpy at 0 K	0.270	eV/atom
ΔE to the lowest computed polymorph	115	meV per atom
V	35.15	Å³/atom

***

[27]
Computed, not measured: a relaxed BaMg2Ru crystal at the GGA-PBE level of DFT.

Lattice parameters (Å, degrees): 5.133 5.133 5.133 60.00 60.00 60.00
Sites, in units of the cell vectors:
Ru (0.000, 0.000, 0.000)
Mg (0.250, 0.250, 0.250)
Mg (0.750, 0.750, 0.750)
Ba (0.500, 0.500, 0.500)

Results
total magnetization	0.0	μB/cell
formation enthalpy at 0 K	0.432	eV/atom
V	23.90	Å³/atom

***

[28]
Computed, not measured: a relaxed BaMgRu3 crystal at the GGA-PBE level of DFT.

Lattice parameters (Å, degrees): 5.025 5.025 5.025 90.00 90.00 90.00
Sites, in units of the cell vectors:
Ru (0.000, 0.500, 0.000)
Ru (0.000, 0.000, 0.500)
Ru (0.500, 0.000, 0.000)
Mg (0.500, 0.500, 0.500)
Ba (0.000, 0.000, 0.000)

Results
total magnetization	3.3	μB/cell
formation enthalpy at 0 K	2.328	eV/atom
ΔE to the lowest computed polymorph	984	meV per atom
V	25.37	Å³/atom

***

[29]
Computed, not measured: a relaxed BaMgRu2 crystal at the GGA-PBE level of DFT.

Lattice parameters (Å, degrees): 4.438 4.438 6.504 70.42 70.42 59.10
Sites, in units of the cell vectors:
Ba (0.487, 0.487, 0.529)
Mg (0.303, 0.303, 0.097)
Ru (0.029, 0.029, 0.944)
Ru (0.680, 0.680, 0.930)

Results
total magnetization	0.0	μB/cell
formation enthalpy at 0 K	0.196	eV/atom
V	25.36	Å³/atom